Record 1
# Sm12InFe6 (PBE, relaxed)
data_Sm12InFe6
_symmetry_space_group_name_H-M 'I m -3'
_symmetry_Int_Tables_number 204
_symmetry_space_group_name_Hall '-I 2 2 3'
_cell_length_a 9.9266
_cell_length_b 9.9266
_cell_length_c 9.9266
_cell_angle_alpha 90.00
_cell_angle_beta 90.00
_cell_angle_gamma 90.00
loop_
_atom_site_label
_atom_site_type_symbol
_atom_site_fract_x
_atom_site_fract_y
_atom_site_fract_z
_atom_site_occupancy
Sm1 Sm 0.0000 0.1945 0.2994 1
In1 In 0.0000 0.0000 0.0000 1
Fe1 Fe 0.0000 0.3922 0.5000 1
# Energy of formation from the pure elements = -0.0168 eV/atom
# Crystal system = cubic
# Total moment = 13.812 μB/cell
# D(E_F) = 1.00 states/eV/atom
# Energy = -220.93 eV per cell

***

Record 2
# In2FeSn2 (PBE, relaxed)
data_In2FeSn2
_symmetry_space_group_name_H-M 'P 4/m b m'
_symmetry_Int_Tables_number 127
_symmetry_space_group_name_Hall '-P 4 2ab'
_cell_length_a 6.7886
_cell_length_b 6.7886
_cell_length_c 5.3034
_cell_angle_alpha 90.00
_cell_angle_beta 90.00
_cell_angle_gamma 90.00
loop_
_atom_site_label
_atom_site_type_symbol
_atom_site_fract_x
_atom_site_fract_y
_atom_site_fract_z
_atom_site_occupancy
In1 In 0.1679 0.3321 0.0000 1
Fe1 Fe 0.0000 0.0000 0.5000 1
Sn1 Sn 0.1669 0.6669 0.5000 1
# Energy of formation from the pure elements = 0.3865 eV/atom
# Crystal system = tetragonal
# Total moment = 0.000 μB/cell
# D(E_F) = 0.58 states/eV/atom
# Energy = -40.03 eV per cell

***

Record 3
# InFe2Sn (PBE, relaxed)
data_InFe2Sn
_symmetry_space_group_name_H-M 'F m -3 m'
_symmetry_Int_Tables_number 225
_symmetry_space_group_name_Hall '-F 4 2 3'
_cell_length_a 6.2385
_cell_length_b 6.2385
_cell_length_c 6.2385
_cell_angle_alpha 90.00
_cell_angle_beta 90.00
_cell_angle_gamma 90.00
loop_
_atom_site_label
_atom_site_type_symbol
_atom_site_fract_x
_atom_site_fract_y
_atom_site_fract_z
_atom_site_occupancy
In1 In 0.0000 0.0000 0.0000 1
Fe1 Fe 0.2500 0.2500 0.2500 1
Sn1 Sn 0.0000 0.0000 0.5000 1
# Energy of formation from the pure elements = 0.3498 eV/atom
# Crystal system = cubic
# Total moment = 0.000 μB/cell
# D(E_F) = 1.02 states/eV/atom
# Energy = -89.07 eV per cell

***

Record 4
# In3FeSn (PBE, relaxed)
data_In3FeSn
_symmetry_space_group_name_H-M 'P m -3 m'
_symmetry_Int_Tables_number 221
_symmetry_space_group_name_Hall '-P 4 2 3'
_cell_length_a 5.0395
_cell_length_b 5.0395
_cell_length_c 5.0395
_cell_angle_alpha 90.00
_cell_angle_beta 90.00
_cell_angle_gamma 90.00
loop_
_atom_site_label
_atom_site_type_symbol
_atom_site_fract_x
_atom_site_fract_y
_atom_site_fract_z
_atom_site_occupancy
In1 In 0.0000 0.0000 0.5000 1
Fe1 Fe 0.0000 0.0000 0.0000 1
Sn1 Sn 0.5000 0.5000 0.5000 1
# Energy of formation from the pure elements = 0.2749 eV/atom
# Crystal system = cubic
# Total moment = 1.708 μB/cell
# D(E_F) = 0.81 states/eV/atom
# ΔE to the lowest computed polymorph = 0.0 meV per atom
# Energy = -19.31 eV per cell

***

Record 5
# InFe3Sn (PBE, relaxed)
data_InFe3Sn
_symmetry_space_group_name_H-M 'P m -3 m'
_symmetry_Int_Tables_number 221
_symmetry_space_group_name_Hall '-P 4 2 3'
_cell_length_a 4.8392
_cell_length_b 4.8392
_cell_length_c 4.8392
_cell_angle_alpha 90.00
_cell_angle_beta 90.00
_cell_angle_gamma 90.00
loop_
_atom_site_label
_atom_site_type_symbol
_atom_site_fract_x
_atom_site_fract_y
_atom_site_fract_z
_atom_site_occupancy
In1 In 0.0000 0.0000 0.0000 1
Fe1 Fe 0.0000 0.5000 0.5000 1
Sn1 Sn 0.5000 0.5000 0.5000 1
# Energy of formation from the pure elements = 1.1981 eV/atom
# Crystal system = cubic
# Total moment = 8.726 μB/cell
# D(E_F) = 1.90 states/eV/atom
# ΔE to the lowest computed polymorph = 0.0 meV per atom
# Energy = -26.14 eV per cell

***

Record 6
# InFe2Sn (PBE, relaxed)
data_InFe2Sn
_symmetry_space_group_name_H-M 'I -4 2 d'
_symmetry_Int_Tables_number 122
_symmetry_space_group_name_Hall 'I -4 2bw'
_cell_length_a 7.2863
_cell_length_b 7.2863
_cell_length_c 5.7559
_cell_angle_alpha 90.00
_cell_angle_beta 90.00
_cell_angle_gamma 90.00
loop_
_atom_site_label
_atom_site_type_symbol
_atom_site_fract_x
_atom_site_fract_y
_atom_site_fract_z
_atom_site_occupancy
In1 In 0.0000 0.0000 0.0000 1
Fe1 Fe 0.2451 0.2500 0.6250 1
Sn1 Sn 0.0000 0.0000 0.5000 1
# Energy of formation from the pure elements = 0.6256 eV/atom
# Crystal system = tetragonal
# Total moment = 19.916 μB/cell
# D(E_F) = 0.98 states/eV/atom
# Energy = -84.66 eV per cell

***

Record 7
# TiInFe2Sn (PBE, relaxed)
data_TiInFe2Sn
_symmetry_space_group_name_H-M 'P 4/m m m'
_symmetry_Int_Tables_number 123
_symmetry_space_group_name_Hall '-P 4 2'
_cell_length_a 4.7688
_cell_length_b 4.7688
_cell_length_c 5.4106
_cell_angle_alpha 90.00
_cell_angle_beta 90.00
_cell_angle_gamma 90.00
loop_
_atom_site_label
_atom_site_type_symbol
_atom_site_fract_x
_atom_site_fract_y
_atom_site_fract_z
_atom_site_occupancy
Ti1 Ti 0.0000 0.0000 0.0000 1
In1 In 0.5000 0.5000 0.5000 1
Fe1 Fe 0.0000 0.5000 0.5000 1
Sn1 Sn 0.5000 0.5000 0.0000 1
# Energy of formation from the pure elements = 1.3868 eV/atom
# Crystal system = tetragonal
# Total moment = 3.921 μB/cell
# D(E_F) = 1.66 states/eV/atom
# Energy = -24.63 eV per cell

***

Record 8
# SrInFe (PBE, relaxed)
data_SrInFe
_symmetry_space_group_name_H-M 'P -6 m 2'
_symmetry_Int_Tables_number 187
_symmetry_space_group_name_Hall 'P -6 2'
_cell_length_a 4.6874
_cell_length_b 4.6874
_cell_length_c 4.3101
_cell_angle_alpha 90.00
_cell_angle_beta 90.00
_cell_angle_gamma 120.00
loop_
_atom_site_label
_atom_site_type_symbol
_atom_site_fract_x
_atom_site_fract_y
_atom_site_fract_z
_atom_site_occupancy
Sr1 Sr 0.0000 0.0000 0.0000 1
In1 In 0.3333 0.6667 0.5000 1
Fe1 Fe 0.6667 0.3333 0.5000 1
# Energy of formation from the pure elements = 0.2256 eV/atom
# Crystal system = hexagonal
# Total moment = 2.570 μB/cell
# D(E_F) = 1.82 states/eV/atom
# Energy = -12.21 eV per cell

***

Record 9
# SrInFe (PBE, relaxed)
data_SrInFe
_symmetry_space_group_name_H-M 'P 1 m 1'
_symmetry_Int_Tables_number 6
_symmetry_space_group_name_Hall 'P -2y'
_cell_length_a 9.1447
_cell_length_b 4.0055
_cell_length_c 9.2865
_cell_angle_alpha 90.00
_cell_angle_beta 95.59
_cell_angle_gamma 90.00
loop_
_atom_site_label
_atom_site_type_symbol
_atom_site_fract_x
_atom_site_fract_y
_atom_site_fract_z
_atom_site_occupancy
Sr1 Sr 0.0000 0.0000 0.0000 1
Sr2 Sr 0.0456 0.5000 0.4018 1
Sr3 Sr 0.4746 0.5000 0.5154 1
Sr4 Sr 0.5278 0.0000 0.9301 1
In1 In 0.2256 0.0000 0.6777 1
In2 In 0.2889 0.5000 0.1398 1
In3 In 0.7488 0.0000 0.3652 1
In4 In 0.7678 0.5000 0.7606 1
Fe1 Fe 0.0508 0.5000 0.7346 1
Fe2 Fe 0.4770 0.0000 0.2389 1
Fe3 Fe 0.5816 0.5000 0.2174 1
Fe4 Fe 0.9218 0.0000 0.6410 1
# Energy of formation from the pure elements = 0.1226 eV/atom
# Crystal system = monoclinic
# Total moment = 4.105 μB/cell
# D(E_F) = 0.80 states/eV/atom
# Energy = -50.06 eV per cell

***

Record 10
# SrInFe (PBE, relaxed)
data_SrInFe
_symmetry_space_group_name_H-M 'I 4 m m'
_symmetry_Int_Tables_number 107
_symmetry_space_group_name_Hall 'I 4 -2'
_cell_length_a 3.6406
_cell_length_b 3.6406
_cell_length_c 11.4999
_cell_angle_alpha 90.00
_cell_angle_beta 90.00
_cell_angle_gamma 90.00
loop_
_atom_site_label
_atom_site_type_symbol
_atom_site_fract_x
_atom_site_fract_y
_atom_site_fract_z
_atom_site_occupancy
Sr1 Sr 0.0000 0.0000 0.0000 1
In1 In 0.0000 0.0000 0.7149 1
Fe1 Fe 0.0000 0.0000 0.2948 1
# Energy of formation from the pure elements = 0.2443 eV/atom
# Crystal system = tetragonal
# Total moment = 4.884 μB/cell
# D(E_F) = 1.50 states/eV/atom
# Energy = -24.30 eV per cell

***

Record 11
# SrInFe (PBE, relaxed)
data_SrInFe
_symmetry_space_group_name_H-M 'F -4 3 m'
_symmetry_Int_Tables_number 216
_symmetry_space_group_name_Hall 'F -4 2 3'
_cell_length_a 6.9631
_cell_length_b 6.9631
_cell_length_c 6.9631
_cell_angle_alpha 90.00
_cell_angle_beta 90.00
_cell_angle_gamma 90.00
loop_
_atom_site_label
_atom_site_type_symbol
_atom_site_fract_x
_atom_site_fract_y
_atom_site_fract_z
_atom_site_occupancy
Sr1 Sr 0.0000 0.0000 0.0000 1
In1 In 0.0000 0.0000 0.5000 1
Fe1 Fe 0.2500 0.2500 0.7500 1
# Energy of formation from the pure elements = 0.4404 eV/atom
# Crystal system = cubic
# Total moment = 10.206 μB/cell
# D(E_F) = 2.32 states/eV/atom
# Energy = -46.25 eV per cell

***

Record 12
# SrInFe3 (PBE, relaxed)
data_SrInFe3
_symmetry_space_group_name_H-M 'P m -3 m'
_symmetry_Int_Tables_number 221
_symmetry_space_group_name_Hall '-P 4 2 3'
_cell_length_a 4.9634
_cell_length_b 4.9634
_cell_length_c 4.9634
_cell_angle_alpha 90.00
_cell_angle_beta 90.00
_cell_angle_gamma 90.00
loop_
_atom_site_label
_atom_site_type_symbol
_atom_site_fract_x
_atom_site_fract_y
_atom_site_fract_z
_atom_site_occupancy
Sr1 Sr 0.0000 0.0000 0.0000 1
In1 In 0.5000 0.5000 0.5000 1
Fe1 Fe 0.0000 0.5000 0.5000 1
# Energy of formation from the pure elements = 1.0635 eV/atom
# Crystal system = cubic
# Total moment = 8.408 μB/cell
# D(E_F) = 1.87 states/eV/atom
# ΔE to the lowest computed polymorph = 0.0 meV per atom
# Energy = -24.49 eV per cell

***

Record 13
# SrIn2Fe2 (PBE, relaxed)
data_SrIn2Fe2
_symmetry_space_group_name_H-M 'I 4/m m m'
_symmetry_Int_Tables_number 139
_symmetry_space_group_name_Hall '-I 4 2'
_cell_length_a 4.5710
_cell_length_b 4.5710
_cell_length_c 10.6289
_cell_angle_alpha 90.00
_cell_angle_beta 90.00
_cell_angle_gamma 90.00
loop_
_atom_site_label
_atom_site_type_symbol
_atom_site_fract_x
_atom_site_fract_y
_atom_site_fract_z
_atom_site_occupancy
Sr1 Sr 0.0000 0.0000 0.0000 1
In1 In 0.0000 0.5000 0.2500 1
Fe1 Fe 0.0000 0.0000 0.3992 1
# Energy of formation from the pure elements = 0.1641 eV/atom
# Crystal system = tetragonal
# Total moment = 8.143 μB/cell
# D(E_F) = 0.94 states/eV/atom
# Energy = -46.53 eV per cell

***

Record 14
# SrInFe (PBE, relaxed)
data_SrInFe
_symmetry_space_group_name_H-M 'F -4 3 m'
_symmetry_Int_Tables_number 216
_symmetry_space_group_name_Hall 'F -4 2 3'
_cell_length_a 7.3503
_cell_length_b 7.3503
_cell_length_c 7.3503
_cell_angle_alpha 90.00
_cell_angle_beta 90.00
_cell_angle_gamma 90.00
loop_
_atom_site_label
_atom_site_type_symbol
_atom_site_fract_x
_atom_site_fract_y
_atom_site_fract_z
_atom_site_occupancy
Sr1 Sr 0.0000 0.0000 0.0000 1
In1 In 0.2500 0.2500 0.7500 1
Fe1 Fe 0.2500 0.2500 0.2500 1
# Energy of formation from the pure elements = 0.9990 eV/atom
# Crystal system = cubic
# Total moment = 10.857 μB/cell
# D(E_F) = 2.23 states/eV/atom
# Energy = -39.54 eV per cell

***

Record 15
# SrInFe3 (PBE, relaxed)
data_SrInFe3
_symmetry_space_group_name_H-M 'P m -3 m'
_symmetry_Int_Tables_number 221
_symmetry_space_group_name_Hall '-P 4 2 3'
_cell_length_a 4.8228
_cell_length_b 4.8228
_cell_length_c 4.8228
_cell_angle_alpha 90.00
_cell_angle_beta 90.00
_cell_angle_gamma 90.00
loop_
_atom_site_label
_atom_site_type_symbol
_atom_site_fract_x
_atom_site_fract_y
_atom_site_fract_z
_atom_site_occupancy
Sr1 Sr 0.0000 0.0000 0.0000 1
In1 In 0.5000 0.5000 0.5000 1
Fe1 Fe 0.0000 0.0000 0.5000 1
# Energy of formation from the pure elements = 2.0043 eV/atom
# Crystal system = cubic
# Total moment = 7.377 μB/cell
# D(E_F) = 1.29 states/eV/atom
# ΔE to the lowest computed polymorph = 940.7 meV per atom
# Energy = -19.79 eV per cell

***

Record 16
# Sr3InFe (PBE, relaxed)
data_Sr3InFe
_symmetry_space_group_name_H-M 'P m -3 m'
_symmetry_Int_Tables_number 221
_symmetry_space_group_name_Hall '-P 4 2 3'
_cell_length_a 5.6671
_cell_length_b 5.6671
_cell_length_c 5.6671
_cell_angle_alpha 90.00
_cell_angle_beta 90.00
_cell_angle_gamma 90.00
loop_
_atom_site_label
_atom_site_type_symbol
_atom_site_fract_x
_atom_site_fract_y
_atom_site_fract_z
_atom_site_occupancy
Sr1 Sr 0.0000 0.0000 0.5000 1
In1 In 0.5000 0.5000 0.5000 1
Fe1 Fe 0.0000 0.0000 0.0000 1
# Energy of formation from the pure elements = 0.4083 eV/atom
# Crystal system = cubic
# Total moment = 0.000 μB/cell
# D(E_F) = 1.79 states/eV/atom
# ΔE to the lowest computed polymorph = 0.0 meV per atom
# Energy = -14.21 eV per cell

***

Record 17
# SrIn2Fe2 (PBE, relaxed)
data_SrIn2Fe2
_symmetry_space_group_name_H-M 'I 4/m m m'
_symmetry_Int_Tables_number 139
_symmetry_space_group_name_Hall '-I 4 2'
_cell_length_a 3.6744
_cell_length_b 3.6744
_cell_length_c 16.5574
_cell_angle_alpha 90.00
_cell_angle_beta 90.00
_cell_angle_gamma 90.00
loop_
_atom_site_label
_atom_site_type_symbol
_atom_site_fract_x
_atom_site_fract_y
_atom_site_fract_z
_atom_site_occupancy
Sr1 Sr 0.0000 0.0000 0.0000 1
In1 In 0.0000 0.0000 0.3691 1
Fe1 Fe 0.0000 0.5000 0.2500 1
# Energy of formation from the pure elements = 0.1600 eV/atom
# Crystal system = tetragonal
# Total moment = 8.942 μB/cell
# D(E_F) = 0.91 states/eV/atom
# Energy = -46.57 eV per cell

***

Record 18
# Ta2InFe (PBE, relaxed)
data_Ta2InFe
_symmetry_space_group_name_H-M 'F -4 3 m'
_symmetry_Int_Tables_number 216
_symmetry_space_group_name_Hall 'F -4 2 3'
_cell_length_a 6.5254
_cell_length_b 6.5254
_cell_length_c 6.5254
_cell_angle_alpha 90.00
_cell_angle_beta 90.00
_cell_angle_gamma 90.00
loop_
_atom_site_label
_atom_site_type_symbol
_atom_site_fract_x
_atom_site_fract_y
_atom_site_fract_z
_atom_site_occupancy
Ta1 Ta 0.0000 0.0000 0.0000 1
Ta2 Ta 0.2500 0.2500 0.2500 1
In1 In 0.0000 0.0000 0.5000 1
Fe1 Fe 0.2500 0.2500 0.7500 1
# Energy of formation from the pure elements = 0.3511 eV/atom
# Crystal system = cubic
# Total moment = 11.585 μB/cell
# D(E_F) = 0.59 states/eV/atom
# Energy = -134.01 eV per cell

***

Record 19
# Ta2InFe (PBE, relaxed)
data_Ta2InFe
_symmetry_space_group_name_H-M 'P 4 m m'
_symmetry_Int_Tables_number 99
_symmetry_space_group_name_Hall 'P 4 -2'
_cell_length_a 3.0885
_cell_length_b 3.0885
_cell_length_c 7.2540
_cell_angle_alpha 90.00
_cell_angle_beta 90.00
_cell_angle_gamma 90.00
loop_
_atom_site_label
_atom_site_type_symbol
_atom_site_fract_x
_atom_site_fract_y
_atom_site_fract_z
_atom_site_occupancy
Ta1 Ta 0.0000 0.0000 0.0000 1
Ta2 Ta 0.5000 0.5000 0.2733 1
In1 In 0.5000 0.5000 0.7008 1
Fe1 Fe 0.0000 0.0000 0.4499 1
# Energy of formation from the pure elements = 0.0825 eV/atom
# Crystal system = tetragonal
# Total moment = 0.791 μB/cell
# D(E_F) = 0.68 states/eV/atom
# Energy = -34.58 eV per cell

***

Record 20
# Ta3InFe (PBE, relaxed)
data_Ta3InFe
_symmetry_space_group_name_H-M 'P m -3 m'
_symmetry_Int_Tables_number 221
_symmetry_space_group_name_Hall '-P 4 2 3'
_cell_length_a 4.6180
_cell_length_b 4.6180
_cell_length_c 4.6180
_cell_angle_alpha 90.00
_cell_angle_beta 90.00
_cell_angle_gamma 90.00
loop_
_atom_site_label
_atom_site_type_symbol
_atom_site_fract_x
_atom_site_fract_y
_atom_site_fract_z
_atom_site_occupancy
Ta1 Ta 0.0000 0.0000 0.5000 1
In1 In 0.5000 0.5000 0.5000 1
Fe1 Fe 0.0000 0.0000 0.0000 1
# Energy of formation from the pure elements = 0.5711 eV/atom
# Crystal system = cubic
# Total moment = 0.000 μB/cell
# D(E_F) = 0.66 states/eV/atom
# ΔE to the lowest computed polymorph = 0.0 meV per atom
# Energy = -43.90 eV per cell